A plane-wave DFT calculation with PBE+U was carried out for V3CoSb2P6O24 after structural relaxation.

```
V3CoSb2P6O24
1.0
-4.3776 -7.7017 -0.8915
3.5522 -6.8984 -4.3666
2.6152 -7.3650 4.2652
Sb Co O P V
2 1 24 6 3
direct
0.9850 0.9850 0.9850
0.4901 0.4901 0.4901
0.8461 0.8461 0.8461
0.4946 0.6979 0.8876
0.6979 0.8876 0.4946
0.8876 0.4946 0.6979
0.0673 0.2732 0.9161
0.0236 0.6220 0.7856
0.2378 0.4333 0.5798
0.2732 0.9161 0.0673
0.4333 0.5798 0.2378
0.1971 0.9956 0.3846
0.5798 0.2378 0.4333
0.0777 0.9466 0.7310
0.3846 0.1971 0.9956
0.6220 0.7856 0.0236
0.9161 0.0673 0.2732
0.4131 0.7704 0.5682
0.7856 0.0236 0.6220
0.5682 0.4131 0.7704
0.7310 0.0777 0.9466
0.7704 0.5682 0.4131
0.9956 0.3846 0.1971
0.9466 0.7310 0.0777
0.1192 0.5074 0.3002
0.3002 0.1192 0.5074
0.5074 0.3002 0.1192
0.0424 0.4617 0.7514
0.4617 0.7514 0.0424
0.7514 0.0424 0.4617
0.2509 0.9611 0.5397
0.5397 0.2509 0.9611
0.9611 0.5397 0.2509
0.3506 0.3506 0.3506
0.1449 0.1449 0.1449
0.6463 0.6463 0.6463
```

- density of states at the Fermi level (states/eV/f.u.) = 18.15
- total magnetization (μB per cell) = 8.746
- total DFT energy (no corrections) (eV/atom) = -7.153
- space-group type = R3 (146)